This record from the Alexandria database describes an optimized crystal structure of TbScIr. The functional is GGA-PBE.

a = 4.423 Å, b = 7.188 Å, c = 7.188 Å
α = 120.09°, β = 90.00°, γ = 90.00°
Sites, in units of the cell vectors:
Tb1 0.000 0.000 0.000
Tb2 0.000 0.172 0.586
Tb3 0.000 0.586 0.172
Sc1 0.500 0.333 0.333
Sc2 0.500 0.586 0.838
Sc3 0.500 0.838 0.586
Ir1 0.000 0.586 0.586
Ir2 0.500 0.253 0.919
Ir3 0.500 0.919 0.253

Results
As for the calculated density: 9.980 Mg/m³. The calculation puts the energy above the lowest structure with this stoichiometry at 0 meV/atom. For the calculated total energy, the calculation gives -7.370 eV per atom. The formation energy comes out at -0.763 eV per atom.


This record from the Alexandria database describes an optimized crystal structure of CdTcIO2. The functional is GGA-PBE.

a = 3.983 Å, b = 3.983 Å, c = 5.808 Å
α = 90.00°, β = 90.00°, γ = 90.00°
Sites, in units of the cell vectors:
Cd1 0.000 0.000 0.000
Tc1 0.500 0.500 0.500
I1 0.500 0.500 0.000
O1 0.000 0.500 0.500
O2 0.500 0.000 0.500

Results
As for the calculated density: 6.655 Mg/m³. The calculation puts the energy above the lowest structure with this stoichiometry at 0 meV/atom. The calculation puts the formation energy (no corrections) at -0.4520 eV/atom. For the calculated total energy, the calculation gives -5.002 eV per atom.


This record from the Alexandria database describes an optimized crystal structure of CsLi2Cl3. The functional is GGA-PBE.

a = 7.199 Å, b = 7.199 Å, c = 7.199 Å
α = 142.85°, β = 137.25°, γ = 57.90°
Sites, in units of the cell vectors:
Cs1 0.000 0.000 0.000
Li1 0.308 0.308 0.000
Li2 0.692 0.692 0.000
Cl1 0.230 0.730 0.500
Cl2 0.500 0.500 0.000
Cl3 0.770 0.270 0.500

Results
As for the calculated density: 2.773 Mg/m³. The calculation puts the formation energy (no corrections) at -1.8607 eV/atom. For the calculated total energy, the calculation gives -3.564 eV per atom.


This record from the Alexandria database describes an optimized crystal structure of TiZn2Au2. The functional is GGA-PBE.

a = 9.005 Å, b = 9.005 Å, c = 4.379 Å
α = 90.00°, β = 90.00°, γ = 152.58°
Sites, in units of the cell vectors:
Ti1 0.149 0.851 0.750
Ti2 0.851 0.149 0.250
Zn1 0.351 0.649 0.750
Zn2 0.452 0.548 0.250
Zn3 0.548 0.452 0.750
Zn4 0.649 0.351 0.250
Au1 0.053 0.947 0.250
Au2 0.254 0.746 0.250
Au3 0.746 0.254 0.750
Au4 0.947 0.053 0.750

Results
As for the calculated density: 11.630 Mg/m³. The calculation puts the energy above the lowest structure with this stoichiometry at 0 meV/atom. For the calculated total energy, the calculation gives -3.672 eV per atom. The formation energy comes out at -0.272 eV per atom.


This record from the Alexandria database describes an optimized crystal structure of SrInP2O8. The functional is GGA-PBE.

a = 5.201 Å, b = 5.201 Å, c = 7.342 Å
α = 90.00°, β = 90.00°, γ = 120.00°
Sites, in units of the cell vectors:
Sr1 0.000 0.000 0.000
In1 0.000 0.000 0.500
P1 0.333 0.667 0.754
P2 0.667 0.333 0.246
O1 0.106 0.348 0.694
O2 0.243 0.894 0.694
O3 0.333 0.667 0.966
O4 0.348 0.243 0.306
O5 0.652 0.757 0.694
O6 0.667 0.333 0.034
O7 0.757 0.106 0.306
O8 0.894 0.652 0.306

Results
As for the calculated density: 3.788 Mg/m³. The calculation puts the formation energy (no corrections) at -2.1842 eV/atom. For the calculated total energy, the calculation gives -6.760 eV per atom.


This record from the Alexandria database describes an optimized crystal structure of NbInTc2. The functional is GGA-PBE.

a = 4.479 Å, b = 4.479 Å, c = 3.334 Å
α = 90.00°, β = 90.00°, γ = 90.00°
Sites, in units of the cell vectors:
Nb1 0.000 0.000 0.000
In1 0.500 0.500 0.000
Tc1 0.000 0.500 0.500
Tc2 0.500 0.000 0.500

Results
As for the calculated density: 10.021 Mg/m³. For the calculated total energy, the calculation gives -8.342 eV per atom. The formation energy comes out at 0.043 eV per atom.